Entry from the Alexandria database: PaFeRh2O8 after structural relaxation (PBE with a Hubbard U).

Cell and atoms, written as POSCAR:
```
PaFeRh2O8
1.0
-3.404 3.404 3.391
3.404 -3.404 3.391
3.404 3.404 -3.391
Pa Fe Rh O
1 1 2 8
direct
0.000 0.000 0.000 Pa
0.750 0.250 0.500 Fe
0.250 0.750 0.500 Rh
0.500 0.500 0.000 Rh
0.031 0.355 0.324 O
0.031 0.707 0.676 O
0.104 0.292 0.812 O
0.293 0.969 0.324 O
0.480 0.292 0.188 O
0.645 0.969 0.676 O
0.708 0.520 0.812 O
0.708 0.896 0.188 O
```

* theoretical density: 6.56 g/cm3
* crystal system: tetragonal
* E_tot: -0.523 Ry per atom